Compound: Mg6TlIn3
Source: Alexandria
Functional: GGA-PBE
Structure: optimized geometry

Computed properties:
Distance to the lowest polymorph of the same formula   55.0 meV/atom

Cell: 9.4451 9.4451 5.9585 Å, 90.00 90.00 111.19°
Element x y z (fractional)
Mg1 0.0536 0.4213 0.0010
Mg2 0.0578 0.9422 0.5000
Mg3 0.2635 0.2687 0.7445
Mg4 0.2687 0.2635 0.2445
Mg5 0.2808 0.7192 0.7654
Mg6 0.4213 0.0536 0.5010
Mg7 0.5787 0.9464 0.0010
Mg8 0.7192 0.2808 0.2654
Mg9 0.7313 0.7365 0.7445
Mg10 0.7365 0.7313 0.2445
Mg11 0.9422 0.0578 0.0000
Mg12 0.9464 0.5787 0.5010
Tl1 0.2904 0.7096 0.2857
Tl2 0.7096 0.2904 0.7857
In1 0.0060 0.2809 0.4923
In2 0.2809 0.0060 0.9923
In3 0.4573 0.5427 0.9866
In4 0.5427 0.4573 0.4866
In5 0.7191 0.9940 0.4923
In6 0.9940 0.7191 0.9923

Compound: Mg2TlIn2
Source: Alexandria
Functional: GGA-PBE
Structure: optimized geometry

Computed properties:
Distance to the lowest polymorph of the same formula   16.6 meV/atom

Cell: 8.9995 8.9995 3.1932 Å, 90.00 90.00 90.00°
Element x y z (fractional)
Mg1 0.1272 0.3728 0.0000
Mg2 0.3728 0.8728 0.0000
Mg3 0.6272 0.1272 0.0000
Mg4 0.8728 0.6272 0.0000
Tl1 0.0000 0.0000 0.0000
Tl2 0.5000 0.5000 0.0000
In1 0.1692 0.6692 0.5000
In2 0.3308 0.1692 0.5000
In3 0.6692 0.8308 0.5000
In4 0.8308 0.3308 0.5000

Compound: Mg8Tl3In
Source: Alexandria
Functional: GGA-PBE
Structure: optimized geometry

Computed properties:
Distance to the lowest polymorph of the same formula   0.0 meV/atom

Cell: 8.8961 6.3230 9.8579 Å, 62.26 38.98 78.75°
Element x y z (fractional)
Mg1 0.0919 0.4038 0.0939
Mg2 0.1568 0.8432 0.1568
Mg3 0.3421 0.6552 0.3448
Mg4 0.4038 0.0919 0.4104
Mg5 0.5896 0.9061 0.5962
Mg6 0.6552 0.3421 0.6579
Mg7 0.8432 0.1568 0.8432
Mg8 0.9061 0.5896 0.9081
Tl1 0.4978 0.4978 0.0022
Tl2 0.7489 0.7489 0.2511
Tl3 0.9978 0.9978 0.5022
In1 0.2486 0.2486 0.7514

Compound: Mg8TlIn2
Source: Alexandria
Functional: GGA-PBE
Structure: optimized geometry

Computed properties:
Distance to the lowest polymorph of the same formula   58.0 meV/atom

Cell: 7.8969 7.8969 5.2752 Å, 102.06 102.06 117.21°
Element x y z (fractional)
Mg1 0.0949 0.3209 0.6246
Mg2 0.2173 0.7827 0.0000
Mg3 0.3209 0.0949 0.6246
Mg4 0.3979 0.3979 0.1893
Mg5 0.6021 0.6021 0.8107
Mg6 0.6791 0.9051 0.3754
Mg7 0.7827 0.2173 0.0000
Mg8 0.9051 0.6791 0.3754
Tl1 0.0000 0.0000 0.0000
In1 0.3055 0.6945 0.5000
In2 0.6945 0.3055 0.5000

Compound: Mg4TlIn4
Source: Alexandria
Functional: GGA-PBE
Structure: optimized geometry

Computed properties:
Distance to the lowest polymorph of the same formula   0.0 meV/atom

Cell: 7.3870 7.3870 7.3870 Å, 95.17 95.17 145.06°
Element x y z (fractional)
Mg1 0.1681 0.1681 0.3361
Mg2 0.1681 0.8319 0.0000
Mg3 0.8319 0.1681 0.0000
Mg4 0.8319 0.8319 0.6639
Tl1 0.5000 0.5000 0.0000
In1 0.1693 0.5000 0.6693
In2 0.5000 0.1693 0.6693
In3 0.5000 0.8307 0.3307
In4 0.8307 0.5000 0.3307

Compound: MgTl2In4
Source: Alexandria
Functional: GGA-PBE
Structure: optimized geometry

Computed properties:
Distance to the lowest polymorph of the same formula   0.0 meV/atom

Cell: 12.7795 12.7795 3.3321 Å, 90.00 90.00 159.17°
Element x y z (fractional)
Mg1 0.0000 0.0000 0.0000
Tl1 0.2976 0.7024 0.5000
Tl2 0.7024 0.2976 0.5000
In1 0.1301 0.8699 0.0000
In2 0.4369 0.5631 0.5000
In3 0.5631 0.4369 0.5000
In4 0.8699 0.1301 0.0000

Compound: Mg3Tl2In2
Source: Alexandria
Functional: GGA-PBE
Structure: optimized geometry

Computed properties:
Distance to the lowest polymorph of the same formula   10.1 meV/atom

Cell: 3.4911 7.4049 7.7749 Å, 66.85 89.62 77.92°
Element x y z (fractional)
Mg1 0.0000 0.0000 0.0000
Mg2 0.3241 0.4103 0.7211
Mg3 0.6759 0.5897 0.2789
Tl1 0.3577 0.2759 0.1612
Tl2 0.6423 0.7241 0.8388
In1 0.0572 0.8377 0.4294
In2 0.9428 0.1623 0.5706

Compound: Mg2TlIn5
Source: Alexandria
Functional: GGA-PBE
Structure: optimized geometry

Computed properties:
Distance to the lowest polymorph of the same formula   0.0 meV/atom

Cell: 6.8314 12.7336 4.7133 Å, 90.00 90.00 90.00°
Element x y z (fractional)
Mg1 0.2424 0.1228 0.0000
Mg2 0.2576 0.6228 0.0000
Mg3 0.7424 0.3772 0.0000
Mg4 0.7576 0.8772 0.0000
Tl1 0.0000 0.0000 0.5000
Tl2 0.5000 0.5000 0.5000
In1 0.0000 0.5000 0.5000
In2 0.0146 0.7477 0.5000
In3 0.2385 0.3714 0.0000
In4 0.2615 0.8714 0.0000
In5 0.4854 0.2477 0.5000
In6 0.5000 0.0000 0.5000
In7 0.5146 0.7523 0.5000
In8 0.7385 0.1286 0.0000
In9 0.7615 0.6286 0.0000
In10 0.9854 0.2523 0.5000

Compound: MgTl12In6
Source: Alexandria
Functional: GGA-PBE
Structure: optimized geometry

Computed properties:
Distance to the lowest polymorph of the same formula   0.0 meV/atom

Cell: 8.2732 8.2732 8.2732 Å, 89.83 89.83 89.83°
Element x y z (fractional)
Mg1 0.0000 0.0000 0.0000
Tl1 0.0480 0.1465 0.3754
Tl2 0.1465 0.3754 0.0480
Tl3 0.1931 0.4803 0.5649
Tl4 0.3754 0.0480 0.1465
Tl5 0.4351 0.8069 0.5197
Tl6 0.4803 0.5649 0.1931
Tl7 0.5197 0.4351 0.8069
Tl8 0.5649 0.1931 0.4803
Tl9 0.6246 0.9520 0.8535
Tl10 0.8069 0.5197 0.4351
Tl11 0.8535 0.6246 0.9520
Tl12 0.9520 0.8535 0.6246
In1 0.1166 0.7442 0.2613
In2 0.2558 0.7387 0.8834
In3 0.2613 0.1166 0.7442
In4 0.7387 0.8834 0.2558
In5 0.7442 0.2613 0.1166
In6 0.8834 0.2558 0.7387

Compound: MgTlIn3
Source: Alexandria
Functional: GGA-PBE
Structure: optimized geometry

Computed properties:
Distance to the lowest polymorph of the same formula   0.0 meV/atom

Cell: 4.7631 7.0024 8.6320 Å, 109.41 92.10 90.31°
Element x y z (fractional)
Mg1 0.2490 0.1549 0.2949
Mg2 0.7510 0.8451 0.7051
Tl1 0.2477 0.1583 0.6913
Tl2 0.7523 0.8417 0.3087
In1 0.2469 0.6411 0.4943
In2 0.2510 0.8371 0.9447
In3 0.2564 0.4877 0.1153
In4 0.7436 0.5123 0.8847
In5 0.7490 0.1629 0.0553
In6 0.7531 0.3589 0.5057

no.,size of the total moment (μB per formula unit),raw total energy (eV/atom),DFT formation energy (meV/atom)
1,0.0,-2.030,-15
2,0.0,-2.225,-19
3,0.0,-1.898,-15
4,0.0,-1.868,5
5,0.0,-2.226,-37
6,0.0,-2.463,6
7,0.0,-2.146,-4
8,0.0,-2.418,-12
9,0.0,-2.416,27
10,0.0,-2.428,7